Material: BaLa2Au
Method: DFT, PBE
State: optimized geometry

a = 5.656 Å, b = 5.656 Å, c = 5.656 Å
α = 60.00°, β = 60.00°, γ = 60.00°
Site moments in Bohr magnetons follow the coordinates.
Positions (direct):
Ba1 0.750 0.750 0.750  0.10
Au1 0.500 0.500 0.500  0.01
La1 0.250 0.250 0.250  0.26
La2 0.000 0.000 0.000  0.35

- energy (eV/f.u.) = -14.98